CuSb2Br: relaxed, PBE-GGA.

Calculated values
**Energy above the lowest structure with this stoichiometry**: 367 meV per atom
**Symmetry**: I-42d

Cell: 6.3264 6.3264 7.8159 Å, 66.13 66.13 90.00°
With the nearest neighbours (Å) after each atom.
Fractional positions:
Sb (0.3750, 0.4583, 0.7500)  2 Cu 2.49
Sb (0.5417, 0.1250, 0.2500)  2 Cu 2.49
Sb (0.2083, 0.6250, 0.2500)  2 Cu 2.49
Sb (0.8750, 0.7917, 0.7500)  2 Cu 2.49
Cu (0.5000, 0.5000, 0.0000)  4 Sb 2.49
Cu (0.2500, 0.7500, 0.5000)  4 Sb 2.49
Br (0.7500, 0.2500, 0.5000)  4 Sb 3.08
Br (0.0000, 0.0000, 0.0000)  4 Sb 3.08

=====

TiSb3N: relaxed, PBE-GGA.

Calculated values
**Energy above the lowest structure with this stoichiometry**: 593 meV per atom
**Symmetry**: Pm-3m

Cell: 5.2277 5.2277 5.2277 Å, 90.00 90.00 90.00°
With the nearest neighbours (Å) after each atom.
Fractional positions:
Ti (0.0000, 0.0000, 0.0000)  6 Sb 2.61
Sb (0.0000, 0.0000, 0.5000)  2 Ti 2.61
Sb (0.5000, 0.0000, 0.0000)  2 Ti 2.61
Sb (0.0000, 0.5000, 0.0000)  2 Ti 2.61
N (0.5000, 0.5000, 0.5000)  12 Sb 3.70

=====

TlGa2Br6: relaxed, PBE-GGA.

Calculated values
**Symmetry**: C2/c

Cell: 8.2538 10.2040 10.2040 Å, 83.33 73.55 73.55°
With the nearest neighbours (Å) after each atom.
Fractional positions:
Br (0.9241, 0.3529, 0.3472)  2 Ga 2.54
Br (0.3314, 0.0517, 0.1769)  1 Ga 2.41
Br (0.6887, 0.5738, 0.0602)  1 Ga 2.39
Br (0.1887, 0.0602, 0.5738)  1 Ga 2.39
Br (0.8113, 0.9398, 0.4262)  1 Ga 2.39
Br (0.1686, 0.8231, 0.9483)  1 Ga 2.41
Br (0.4241, 0.3472, 0.3529)  2 Ga 2.54
Br (0.0759, 0.6471, 0.6528)  2 Ga 2.54
Br (0.8314, 0.1769, 0.0517)  1 Ga 2.41
Br (0.3113, 0.4262, 0.9398)  1 Ga 2.39
Br (0.5759, 0.6528, 0.6471)  2 Ga 2.54
Br (0.6686, 0.9483, 0.8231)  1 Ga 2.41
Tl (0.7500, 0.8585, 0.1415)  6 Br 3.32-3.47
Tl (0.2500, 0.1415, 0.8585)  6 Br 3.32-3.47
Ga (0.7177, 0.3677, 0.1996)  4 Br 2.39-2.54
Ga (0.2177, 0.1996, 0.3677)  4 Br 2.39-2.54
Ga (0.2823, 0.6323, 0.8004)  4 Br 2.39-2.54
Ga (0.7823, 0.8004, 0.6323)  4 Br 2.39-2.54

=====

NpO2F2: relaxed, PBE-GGA.

Calculated values
**Energy above the lowest structure with this stoichiometry**: 167 meV per atom
**Symmetry**: P-1

Cell: 3.5634 4.8853 11.5977 Å, 60.25 79.82 88.81°
With the nearest neighbours (Å) after each atom.
Fractional positions:
Np (0.7413, 0.2982, 0.5008)  2 O 1.80-2.01, 1 F 2.00
Np (0.5087, 0.4518, 0.9992)  2 O 1.80-2.01, 1 F 2.00
O (0.0314, 0.4312, 0.9059)  2 Np 2.01-2.20
O (0.4432, 0.0308, 0.1138)  1 Np 1.80
O (0.8068, 0.7192, 0.3862)  1 Np 1.80
O (0.2186, 0.3188, 0.5941)  2 Np 2.01-2.20
F (0.5609, 0.9216, 0.8757)  1 Np 2.00
F (0.9527, 0.5002, 0.1122)  2 Np 2.25-2.31
F (0.6891, 0.8284, 0.6243)  1 Np 2.00
F (0.2973, 0.2498, 0.3878)  2 Np 2.25-2.31

=====

Ac3ZnNi3: relaxed, PBE-GGA.

Calculated values
**Energy above the lowest structure with this stoichiometry**: 116 meV per atom
**Symmetry**: P6_3/m
**Energy of formation from the pure elements**: -144 meV per atom

Cell: 5.8509 8.7583 8.7583 Å, 120.00 90.00 90.00°
With the nearest neighbours (Å) after each atom.
Fractional positions:
Ac (0.7500, 0.7027, 0.6414)  5 Ni 2.93-3.01
Ac (0.7500, 0.9387, 0.2973)  5 Ni 2.93-3.01
Ac (0.2500, 0.2973, 0.3586)  5 Ni 2.93-3.01
Ac (0.2500, 0.0613, 0.7027)  5 Ni 2.93-3.01
Ac (0.7500, 0.3586, 0.0613)  5 Ni 2.93-3.01
Ac (0.2500, 0.6414, 0.9387)  5 Ni 2.93-3.01
Ni (0.2500, 0.3816, 0.0654)  1 Zn 2.42
Ni (0.7500, 0.0654, 0.6837)  1 Zn 2.42
Ni (0.2500, 0.9346, 0.3163)  1 Zn 2.42
Ni (0.7500, 0.3163, 0.3816)  1 Zn 2.42
Ni (0.7500, 0.6184, 0.9346)  1 Zn 2.42
Ni (0.2500, 0.6837, 0.6184)  1 Zn 2.42
Zn (0.2500, 0.6667, 0.3333)  3 Ni 2.42
Zn (0.7500, 0.3333, 0.6667)  3 Ni 2.42

=====

Pr2AlGaPt2: relaxed, PBE-GGA.

Calculated values
**Symmetry**: Ibam
**Energy of formation from the pure elements**: -977 meV per atom

Cell: 6.1635 6.1813 8.1801 Å, 112.20 112.13 90.00°
With the nearest neighbours (Å) after each atom.
Fractional positions:
Pt (0.6355, 0.3936, 0.7873)  2 Al 2.60, 2 Ga 2.66
Pt (0.3645, 0.6064, 0.2127)  2 Al 2.60, 2 Ga 2.66
Pt (0.8482, 0.1064, 0.2127)  2 Al 2.60, 2 Ga 2.66
Pt (0.1518, 0.8936, 0.7873)  2 Al 2.60, 2 Ga 2.66
Ga (0.0000, 0.2500, 0.0000)  4 Pt 2.66
Ga (0.0000, 0.7500, 0.0000)  4 Pt 2.66
Pr (0.0733, 0.3286, 0.6572)  5 Pt 3.08-3.23, 2 Ga 3.21, 2 Al 3.24
Pr (0.4160, 0.1714, 0.3428)  5 Pt 3.08-3.23, 2 Ga 3.21, 2 Al 3.24
Pr (0.9267, 0.6714, 0.3428)  5 Pt 3.08-3.23, 2 Ga 3.21, 2 Al 3.24
Pr (0.5840, 0.8286, 0.6572)  5 Pt 3.08-3.23, 2 Ga 3.21, 2 Al 3.24
Al (0.5000, 0.2500, 0.0000)  4 Pt 2.60
Al (0.5000, 0.7500, 0.0000)  4 Pt 2.60

=====

Er2Si2S7: relaxed, PBE-GGA.

Calculated values
**Symmetry**: C2/m

Cell: 5.8600 6.9213 6.9213 Å, 102.42 97.53 97.53°
With the nearest neighbours (Å) after each atom.
Fractional positions:
S (0.2791, 0.5866, 0.9187)  1 Si 2.13
S (0.2791, 0.9187, 0.5866)  1 Si 2.13
S (0.2273, 0.3973, 0.3973)  1 Si 2.13
S (0.0000, 0.0000, 0.0000)  2 Si 2.13
S (0.7727, 0.6027, 0.6027)  1 Si 2.13
S (0.7209, 0.0813, 0.4134)  1 Si 2.13
S (0.7209, 0.4134, 0.0813)  1 Si 2.13
Si (0.9094, 0.2258, 0.2258)  4 S 2.13
Si (0.0906, 0.7742, 0.7742)  4 S 2.13
Er (0.5000, 0.3040, 0.6960)  6 S 2.69-2.79
Er (0.5000, 0.6960, 0.3040)  6 S 2.69-2.79

=====

Li5Cd2AgPd2: relaxed, PBE-GGA.

Calculated values
**Symmetry**: P4/mbm
**Energy of formation from the pure elements**: -288 meV per atom

Cell: 3.9455 9.3230 9.3230 Å, 90.00 90.00 90.00°
With the nearest neighbours (Å) after each atom.
Fractional positions:
Li (0.5000, 0.7027, 0.4299)  2 Pd 2.64, 2 Ag 2.81, 3 Li 2.83-2.85
Li (0.5000, 0.7973, 0.9299)  2 Pd 2.64, 2 Ag 2.81, 3 Li 2.83-2.85
Li (0.5000, 0.2027, 0.0701)  2 Pd 2.64, 2 Ag 2.81, 3 Li 2.83-2.85
Li (0.5000, 0.0000, 0.5000)  4 Pd 2.48
Li (0.5000, 0.5701, 0.7027)  2 Pd 2.64, 2 Ag 2.81, 3 Li 2.83-2.85
Li (0.5000, 0.5000, 0.0000)  4 Pd 2.48
Li (0.5000, 0.9299, 0.2027)  2 Pd 2.64, 2 Ag 2.81, 3 Li 2.83-2.85
Li (0.5000, 0.2973, 0.5701)  2 Pd 2.64, 2 Ag 2.81, 3 Li 2.83-2.85
Li (0.5000, 0.4299, 0.2973)  2 Pd 2.64, 2 Ag 2.81, 3 Li 2.83-2.85
Li (0.5000, 0.0701, 0.7973)  2 Pd 2.64, 2 Ag 2.81, 3 Li 2.83-2.85
Pd (0.0000, 0.6142, 0.8858)  6 Li 2.48-2.64, 1 Cd 2.73
Pd (0.0000, 0.8858, 0.3858)  6 Li 2.48-2.64, 1 Cd 2.73
Pd (0.0000, 0.1142, 0.6142)  6 Li 2.48-2.64, 1 Cd 2.73
Pd (0.0000, 0.3858, 0.1142)  6 Li 2.48-2.64, 1 Cd 2.73
Cd (0.0000, 0.1788, 0.3212)  3 Pd 2.73-2.80
Cd (0.0000, 0.3212, 0.8212)  3 Pd 2.73-2.80
Cd (0.0000, 0.6788, 0.1788)  3 Pd 2.73-2.80
Cd (0.0000, 0.8212, 0.6788)  3 Pd 2.73-2.80
Ag (0.0000, 0.0000, 0.0000)  8 Li 2.81
Ag (0.0000, 0.5000, 0.5000)  8 Li 2.81

=====

no.,VASP energy (eV/atom)
1,-3.205
2,-4.640
3,-2.786
4,-8.105
5,-4.565
6,-5.712
7,-5.585
8,-2.751